{"formula": "CoIO", "functional": "GGA+U", "state": "relaxed", "total_magnetization_mub_per_fu": 2.55, "total_energy_ev_per_atom": -3.94, "e_above_lowest_polymorph_ev_per_atom": 0.750, "sg": "Fddd, No. 70", "cell": [[0.000, 4.522, 5.855], [4.352, 0.000, 5.855], [4.352, 4.522, 0.000]], "species": ["Co", "Co", "Co", "Co", "I", "I", "I", "I", "O", "O", "O", "O"], "fractional_positions": [[0.023, 0.727, 0.023], [0.273, 0.977, 0.273], [0.727, 0.023, 0.727], [0.977, 0.273, 0.977], [0.000, 0.500, 0.500], [0.500, 0.000, 0.500], [0.500, 0.500, 0.000], [0.500, 0.500, 0.500], [0.014, 0.014, 0.236], [0.236, 0.236, 0.014], [0.764, 0.764, 0.986], [0.986, 0.986, 0.764]]}